1.
Ga2Se2S: relaxed, GGA-PBE.

The calculation puts the density of states at the Fermi level at 2.7 states/eV per cell. As for the uncorrected formation energy: 0.078 eV/atom. Its mass density is 4.8 g/cm³.

```
Ga2Se2S
1.0
4.511 0.000 0.000
0.000 4.511 0.000
2.256 2.256 5.623
S Ga Se
1 2 2
Cartesian
0.000 0.000 0.000 S
4.511 2.256 2.811 Ga
2.256 4.511 2.811 Ga
2.256 2.256 1.561 Se
4.511 4.511 4.062 Se
```


2.
GaSe2S: relaxed, GGA-PBE.

The calculation puts the density of states at the Fermi level at 1.9 states/eV per cell. As for the excess energy over the best structure of this formula in the dataset: 0.0 meV per atom. As for the uncorrected formation energy: 0.005 eV/atom. Its mass density is 4.5 g/cm³.

```
GaSe2S
1.0
2.189 0.000 7.701
-1.095 1.896 7.701
-1.095 -1.896 7.701
S Ga Se
1 1 2
Cartesian
0.000 0.000 0.000 S
0.000 0.000 11.552 Ga
0.000 0.000 20.716 Se
0.000 0.000 2.387 Se
```


3.
Ga2Se2S: relaxed, GGA-PBE.

As for the uncorrected formation energy: -0.507 eV/atom. Its mass density is 4.2 g/cm³.

```
Ga2Se2S
1.0
3.732 0.000 0.000
0.000 6.452 0.222
-1.866 -0.382 10.792
Ga Se S
4 4 2
Cartesian
0.000 5.747 2.985 Ga
1.866 0.323 8.029 Ga
0.000 3.062 7.265 Ga
1.866 3.009 3.750 Ga
0.000 1.676 2.600 Se
1.866 4.394 8.414 Se
0.000 1.312 9.239 Se
1.866 4.758 1.775 Se
0.000 4.310 4.857 S
1.866 1.760 6.158 S
```


4.
Ga2Se2S: relaxed, GGA-PBE.

The calculation puts the density of states at the Fermi level at 5.0 states/eV per cell. As for the uncorrected formation energy: 0.024 eV/atom. Its mass density is 4.9 g/cm³.

```
Ga2Se2S
1.0
7.599 0.000 0.000
0.000 7.599 0.000
0.000 0.000 3.886
S Ga Se
2 4 4
Cartesian
0.000 0.000 0.000 S
3.800 3.800 0.000 S
0.909 4.709 1.943 Ga
4.709 6.690 1.943 Ga
6.690 2.891 1.943 Ga
2.891 0.909 1.943 Ga
2.064 5.863 0.000 Se
5.863 5.536 0.000 Se
5.536 1.736 0.000 Se
1.736 2.064 0.000 Se
```


5.
Ga3Se2S: relaxed, GGA-PBE.

The calculation puts the density of states at the Fermi level at 2.0 states/eV per cell. As for the uncorrected formation energy: -0.388 eV/atom. Its mass density is 4.5 g/cm³.

```
Ga3Se2S
1.0
3.795 0.000 0.000
0.000 7.179 0.000
-1.897 -3.590 5.402
Ga Se S
3 2 1
Cartesian
0.000 6.898 0.000 Ga
0.000 0.318 4.039 Ga
1.897 3.907 1.364 Ga
1.897 1.985 3.294 Se
0.000 5.575 2.108 Se
1.897 1.009 0.000 S
```


6.
GaSe2S: relaxed, GGA-PBE.

The calculation puts the density of states at the Fermi level at 7.7 states/eV per cell. As for the excess energy over the best structure of this formula in the dataset: 159.6 meV per atom. As for the uncorrected formation energy: 0.164 eV/atom. Its mass density is 4.4 g/cm³.

```
GaSe2S
1.0
-4.252 -4.386 2.705
5.032 -2.777 3.407
-0.345 -0.801 6.408
S Ga Se
2 2 4
Cartesian
0.390 -3.581 3.056 S
2.538 -3.579 6.435 S
0.000 0.000 0.000 Ga
-2.104 -4.384 6.085 Ga
-2.205 -3.381 3.776 Se
2.617 -2.391 4.012 Se
-0.073 -3.228 7.026 Se
0.529 -6.926 10.226 Se
```


7.
GaSeS3: relaxed, GGA-PBE.

The calculation puts the density of states at the Fermi level at 5.6 states/eV per cell. As for the excess energy over the best structure of this formula in the dataset: 570.6 meV per atom. As for the uncorrected formation energy: 0.500 eV/atom. Its mass density is 3.6 g/cm³.

```
GaSeS3
1.0
-4.824 -0.419 -0.092
0.229 -1.629 -4.555
0.363 -4.541 1.642
S Ga Se
3 1 1
Cartesian
0.114 -0.814 -2.277 S
0.181 -2.271 0.821 S
-2.412 -0.209 -0.046 S
-2.116 -3.294 -1.502 Ga
0.000 0.000 0.000 Se
```


8.
GaSeS6: relaxed, GGA-PBE.

The calculation puts the density of states at the Fermi level at 4.0 states/eV per cell. As for the uncorrected formation energy: 0.078 eV/atom. Its mass density is 2.2 g/cm³.

```
GaSeS6
1.0
8.492 0.558 3.367
4.023 5.748 2.502
2.380 -0.625 6.367
Ga Se S
1 1 6
Cartesian
7.447 2.841 6.118 Ga
0.000 0.000 0.000 Se
7.845 4.820 6.892 S
7.413 1.644 8.604 S
10.102 2.083 8.624 S
7.482 4.038 3.632 S
7.049 0.862 5.344 S
4.793 3.599 3.612 S
```


9.
Ga2Se3S2: relaxed, GGA-PBE.

As for the uncorrected formation energy: -0.208 eV/atom. Its mass density is 3.8 g/cm³.

```
Ga2Se3S2
1.0
0.281 5.124 -1.054
-5.429 2.042 -4.581
-4.586 -4.301 4.445
Ga Se S
2 3 2
Cartesian
-5.461 -1.047 2.093 Ga
-4.143 3.607 -3.419 Ga
-0.448 0.417 -0.272 Se
-3.066 2.786 -1.459 Se
-6.508 0.205 0.117 Se
-3.786 2.304 1.360 S
-5.789 0.324 -1.993 S
```


10.
GaSe3S8: relaxed, GGA-PBE.

The calculation puts the density of states at the Fermi level at 0.9 states/eV per cell. As for the uncorrected formation energy: 0.033 eV/atom. Its mass density is 2.0 g/cm³.

```
GaSe3S8
1.0
-4.280 -5.672 -6.702
-3.499 4.775 8.683
-5.867 6.517 0.752
Ga Se S
1 3 8
Cartesian
-4.397 -5.489 -6.486 Ga
-8.520 2.932 -0.406 Se
-3.372 2.422 3.281 Se
-10.155 5.403 2.285 Se
-4.150 3.376 1.422 S
-8.287 2.645 1.803 S
-1.297 1.717 3.013 S
-6.633 3.906 -1.059 S
-8.114 -0.217 -5.047 S
-6.776 1.267 2.081 S
-7.204 6.340 2.906 S
-4.403 4.218 6.893 S
```


11.
Sm6Ga2Se3S: relaxed, GGA-PBE.

The calculation puts the density of states at the Fermi level at 3.3 states/eV per cell. As for the uncorrected formation energy: -1.444 eV/atom. Its mass density is 7.0 g/cm³.

```
Sm6Ga2Se3S
1.0
4.069 0.000 0.000
0.000 8.586 0.238
-2.035 -2.544 8.823
Sm Ga Se S
6 2 3 1
Cartesian
0.000 6.148 6.162 Sm
2.035 4.189 3.054 Sm
2.035 -0.106 2.899 Sm
0.000 2.059 0.123 Sm
2.035 3.983 8.938 Sm
0.000 1.853 6.007 Sm
2.035 4.016 6.025 Ga
0.000 2.025 3.036 Ga
2.035 4.293 0.119 Se
2.035 -0.303 5.960 Se
0.000 6.344 3.102 Se
2.035 0.000 0.000 S
```


12.
Sm4GaSeS2: relaxed, GGA-PBE.

The calculation puts the density of states at the Fermi level at 3.1 states/eV per cell. As for the uncorrected formation energy: -1.616 eV/atom. Its mass density is 6.8 g/cm³.

```
Sm4GaSeS2
1.0
4.051 0.000 0.000
0.000 7.158 -0.176
0.000 2.490 6.760
Sm Ga Se S
4 1 1 2
Cartesian
0.000 7.278 4.872 Sm
4.051 2.369 1.712 Sm
2.025 6.047 1.538 Sm
2.025 3.601 5.047 Sm
0.000 4.824 3.292 Ga
2.025 6.069 6.672 Se
0.000 2.490 6.760 S
2.025 1.245 3.380 S
```


13.
Sm6GaSe3S2: relaxed, GGA-PBE.

The calculation puts the density of states at the Fermi level at 4.7 states/eV per cell. As for the uncorrected formation energy: -1.693 eV/atom. Its mass density is 7.0 g/cm³.

```
Sm6GaSe3S2
1.0
4.069 0.000 0.000
0.000 8.401 0.224
-2.035 -2.500 8.742
Sm Ga Se S
6 1 3 2
Cartesian
0.000 5.952 6.079 Sm
2.035 3.949 3.100 Sm
2.035 -0.051 2.887 Sm
0.000 2.075 0.117 Sm
2.035 3.826 8.849 Sm
0.000 1.952 5.866 Sm
2.035 0.000 0.000 Ga
2.035 4.201 0.112 Se
2.035 -0.231 5.854 Se
0.000 6.133 3.112 Se
2.035 3.936 5.944 S
0.000 1.966 3.022 S
```


14.
TaGa2SeS: relaxed, GGA-PBE.

The calculation puts the density of states at the Fermi level at 4.4 states/eV per cell. As for the uncorrected formation energy: 0.275 eV/atom. Its mass density is 5.6 g/cm³.

```
TaGa2SeS
1.0
5.320 0.000 0.000
0.000 4.536 0.000
0.000 0.000 5.320
S Ga Se Ta
1 2 1 1
Cartesian
0.000 2.268 0.000 S
0.000 0.000 2.660 Ga
2.660 0.000 0.000 Ga
2.660 2.268 2.660 Se
0.000 0.000 0.000 Ta
```


15.
Tb4GaSe2S: relaxed, GGA-PBE.

The calculation puts the density of states at the Fermi level at 3.2 states/eV per cell. As for the uncorrected formation energy: -1.563 eV/atom. Its mass density is 7.7 g/cm³.

```
Tb4GaSe2S
1.0
4.029 0.000 0.000
0.000 7.161 -0.189
0.000 2.475 6.637
Tb Ga Se S
4 1 2 1
Cartesian
0.000 7.174 4.850 Tb
4.029 2.462 1.598 Tb
2.015 5.890 1.549 Tb
2.015 3.747 4.899 Tb
2.014 3.581 -0.095 Ga
0.000 2.475 6.637 Se
2.014 1.238 3.319 Se
0.000 4.818 3.224 S
```


16.
Th6GaSe3S2: relaxed, GGA-PBE.

The calculation puts the density of states at the Fermi level at 7.9 states/eV per cell. As for the uncorrected formation energy: -1.466 eV/atom. Its mass density is 9.4 g/cm³.

```
Th6GaSe3S2
1.0
7.173 -0.006 -0.001
-3.590 6.210 -0.001
-1.196 -2.071 6.968
Th Ga Se S
6 1 3 2
Cartesian
3.614 2.014 5.323 Th
2.356 4.079 1.611 Th
-1.227 2.119 1.643 Th
-0.061 4.137 5.323 Th
0.031 0.054 5.355 Th
2.448 -0.004 1.643 Th
0.000 0.000 0.000 Ga
-2.461 4.177 3.483 Se
4.848 -0.044 3.483 Se
1.193 2.066 3.483 Se
-0.017 4.146 -0.001 S
3.600 2.058 -0.001 S
```


17.
Th6GaSe2S3: relaxed, GGA-PBE.

The calculation puts the density of states at the Fermi level at 9.6 states/eV per cell. As for the uncorrected formation energy: -1.506 eV/atom. Its mass density is 9.4 g/cm³.

```
Th6GaSe2S3
1.0
-3.222 -1.363 6.290
0.060 -5.014 -5.163
6.868 -0.337 2.076
Th Ga Se S
6 1 2 3
Cartesian
2.147 -4.406 4.255 Th
-0.577 -4.925 1.405 Th
1.560 -2.307 -1.053 Th
3.229 -5.610 0.478 Th
4.284 -1.788 1.798 Th
0.477 -1.103 2.724 Th
0.000 0.000 0.000 Ga
-1.033 -3.798 -1.349 Se
-2.129 -2.579 2.475 Se
2.952 -4.579 -2.234 S
0.754 -2.134 5.437 S
1.853 -3.356 1.601 S
```


18.
Tm6GaSe3S2: relaxed, GGA-PBE.

The calculation puts the density of states at the Fermi level at 4.6 states/eV per cell. As for the uncorrected formation energy: -1.616 eV/atom. Its mass density is 8.5 g/cm³.

```
Tm6GaSe3S2
1.0
6.860 0.011 0.004
-3.419 5.948 0.004
-1.144 -1.981 6.596
Tm Ga Se S
6 1 3 2
Cartesian
3.437 1.996 5.072 Tm
2.297 3.977 1.534 Tm
-1.139 1.982 1.532 Tm
0.012 3.974 5.072 Tm
0.001 0.001 5.070 Tm
2.286 0.004 1.532 Tm
0.000 0.000 0.000 Ga
-2.265 3.961 3.302 Se
4.563 0.017 3.302 Se
1.149 1.989 3.302 Se
0.010 3.968 0.004 S
3.432 1.991 0.004 S
```


19.
Tm8Ga3Se4S: relaxed, GGA-PBE.

The calculation puts the density of states at the Fermi level at 5.4 states/eV per cell. As for the uncorrected formation energy: -1.307 eV/atom. Its mass density is 8.5 g/cm³.

```
Tm8Ga3Se4S
1.0
7.953 0.000 0.000
0.000 8.236 0.193
-3.976 -3.970 5.627
Tm Ga Se S
8 3 4 1
Cartesian
-1.995 2.145 5.733 Tm
0.000 4.136 2.910 Tm
0.000 0.078 2.864 Tm
1.995 2.145 5.733 Tm
1.982 2.121 0.087 Tm
3.976 4.188 2.955 Tm
3.976 0.129 2.909 Tm
5.971 2.121 0.087 Tm
3.976 4.118 0.096 Ga
1.988 2.133 2.910 Ga
-1.988 2.133 2.910 Ga
3.976 0.000 0.000 Se
1.988 -1.985 2.813 Se
0.000 0.000 0.000 Se
-1.988 -1.985 2.813 Se
0.000 4.118 0.096 S
```


20.
Tm8Ga3Se3S: relaxed, GGA-PBE.

The calculation puts the density of states at the Fermi level at 7.6 states/eV per cell. As for the uncorrected formation energy: -1.122 eV/atom. Its mass density is 8.3 g/cm³.

```
Tm8Ga3Se3S
1.0
7.809 0.000 0.000
-3.904 6.749 -0.023
0.000 -4.471 6.977
Tm Ga Se S
8 3 3 1
Cartesian
0.000 2.258 1.755 Tm
3.904 0.020 5.199 Tm
3.904 2.276 1.734 Tm
0.000 0.002 5.220 Tm
1.970 5.620 1.725 Tm
1.934 -3.342 5.229 Tm
-1.970 5.620 1.725 Tm
5.874 -3.342 5.229 Tm
0.000 0.000 0.000 Ga
-1.952 3.374 -0.012 Ga
1.952 3.374 -0.012 Ga
3.904 -2.235 3.488 Se
1.952 1.139 3.477 Se
-1.952 1.139 3.477 Se
0.000 -2.235 3.488 S
```